Material: Fe3O2F4
Method: DFT, GGA+U
State: relaxed

Results
Calculated volume = 206 Å³/cell
N(E_F) = 0.16 states/eV/atom
Calculated total energy = -100.8 eV/cell
Space-group type = C2/m

Cell lengths 4.7303, 4.7303, 9.2287 Å; angles 90.44, 90.44, 94.64 degrees
Fractional coordinates of all 18 atoms:
Fe1 0.0000 0.0000 0.0000
Fe2 0.0042 0.0042 0.6576
Fe3 0.4686 0.4686 0.1687
Fe4 0.5000 0.5000 0.5000
Fe5 0.5314 0.5314 0.8313
Fe6 0.9958 0.9958 0.3424
O1 0.1690 0.1690 0.1739
O2 0.1971 0.1971 0.4986
O3 0.8029 0.8029 0.5014
O4 0.8310 0.8310 0.8261
F1 0.2129 0.2129 0.8236
F2 0.2915 0.7085 0.0000
F3 0.3058 0.6839 0.3460
F4 0.3161 0.6942 0.6540
F5 0.6839 0.3058 0.3460
F6 0.6942 0.3161 0.6540
F7 0.7085 0.2915 0.0000
F8 0.7871 0.7871 0.1764